Mg3AgAu at its PBEsol-relaxed geometry, computed with meta-GGA SCAN.

Results
DFT formation energy = 0.16 eV/atom
crystal system = cubic
spin magnetization = 0.00 μB/cell

Unit cell a=4.952 b=4.952 c=4.952 alpha=90.00 beta=90.00 gamma=90.00
Atoms (fractional coordinates):
1 Mg 0.000 0.000 0.500
2 Au 0.500 0.500 0.500
3 Ag 0.000 0.000 0.000
4 Mg 0.500 0.000 0.000
5 Mg 0.000 0.500 0.000